Entry 1:
First-principles (PBE) data for an optimized crystal structure of CeDyS3, as listed in the Alexandria database.

Properties
formation energy without anion corrections: -2.023 eV per atom
total magnetic moment: 1.783 μB per cell
V: 242.31 Å³ per cell
D(E_F): 11.94 states/eV/cell
total energy: -6.61 eV/atom

a = 7.8425 Å, b = 3.9448 Å, c = 7.8552 Å
α = 90.00°, β = 94.36°, γ = 90.00°
Closest atoms and distances in Å follow each position.
Sites, in units of the cell vectors:
1 Ce 0.2325 0.2500 0.3799  8 S 2.82-3.07
2 Ce 0.7675 0.7500 0.6201  8 S 2.82-3.07
3 Dy 0.3244 0.2500 0.8547  6 S 2.64-2.78
4 Dy 0.6756 0.7500 0.1453  6 S 2.64-2.78
5 S 0.0221 0.2500 0.6808  1 Dy 2.64, 2 Ce 2.82
6 S 0.3205 0.7500 0.1001  3 Dy 2.76-2.78, 2 Ce 3.07
7 S 0.3843 0.7500 0.6240  2 Dy 2.74, 3 Ce 2.94-3.01
8 S 0.6157 0.2500 0.3760  2 Dy 2.74, 3 Ce 2.94-3.01
9 S 0.6795 0.2500 0.8999  3 Dy 2.76-2.78, 2 Ce 3.07
10 S 0.9779 0.7500 0.3192  1 Dy 2.64, 2 Ce 2.82



Entry 2:
First-principles (PBE) data for an optimized crystal structure of Ce2Dy3S4, as listed in the Alexandria database.

Properties
formation energy without anion corrections: -1.729 eV per atom
total magnetic moment: 2.128 μB per cell
V: 213.00 Å³ per cell
D(E_F): 13.21 states/eV/cell
total energy: -6.42 eV/atom

a = 6.7642 Å, b = 6.7642 Å, c = 9.6409 Å
α = 117.46°, β = 117.46°, γ = 33.43°
Closest atoms and distances in Å follow each position.
Sites, in units of the cell vectors:
1 Ce 0.0980 0.0980 0.4054  4 S 2.81-2.86
2 Ce 0.9020 0.9020 0.5946  4 S 2.81-2.86
3 Dy 0.2947 0.2947 0.1963  5 S 2.72-2.77
4 Dy 0.5000 0.5000 0.0000  6 S 2.75-2.76
5 Dy 0.7053 0.7053 0.8037  5 S 2.72-2.77
6 S 0.1032 0.1032 0.9035  5 Dy 2.72-2.77, 1 Ce 2.86
7 S 0.3034 0.3034 0.7062  3 Dy 2.73-2.75, 3 Ce 2.81-2.84
8 S 0.6966 0.6966 0.2938  3 Dy 2.73-2.75, 3 Ce 2.81-2.84
9 S 0.8968 0.8968 0.0965  5 Dy 2.72-2.77, 1 Ce 2.86